Computed, not measured: a relaxed structure of AcHfCr2O6 at the GGA+U level of DFT.

Results
* N(E_F): 0.0 states/eV/f.u.
* space group: P1
* calculated total energy: -8.561 eV per atom
* total magnetic moment: 7.00 μB per formula unit

extended XYZ file:
```
10
Lattice="-0.848 -5.139 -1.596 1.482 -4.194 3.329 -4.162 -3.152 2.943" Properties=species:S:1:pos:R:3 pbc="T T T"
Ac -2.146 -9.391 3.284
O -0.748 -7.954 1.192
O 0.224 -5.765 3.299
O -2.786 -4.746 3.032
O -1.083 -4.827 0.361
O -3.463 -6.918 1.709
O -2.368 -7.179 4.226
Cr -4.042 -3.145 2.866
Cr -1.482 -6.282 2.160
Hf -0.022 -3.108 0.707
```